(1)
# PBE LiNb2Br, optimized geometry
# relative energy among the computed polymorphs: 418.5 meV/atom
# volume: 67.0 Å³/cell
# formation energy without anion corrections: 770 meV/atom
# VASP energy: -5.16 eV/atom
data_LiNb2Br
_chemical_formula_sum 'Li1 Nb2 Br1'
_symmetry_space_group_name_H-M 'P 1'
_symmetry_Int_Tables_number 1
_symmetry_space_group_name_Hall 'P 1'
_cell_length_a 4.559
_cell_length_b 4.559
_cell_length_c 4.559
_cell_angle_alpha 60.00
_cell_angle_beta 60.00
_cell_angle_gamma 60.00
loop_
_atom_site_label
_atom_site_type_symbol
_atom_site_fract_x
_atom_site_fract_y
_atom_site_fract_z
Nb1 Nb 0.750 0.750 0.750
Nb2 Nb 0.250 0.250 0.250
Li1 Li 0.000 0.000 0.000
Br1 Br 0.500 0.500 0.500


(2)
# PBE Tl2HgRh, optimized geometry
# relative energy among the computed polymorphs: 0.0 meV/atom
# volume: 100.8 Å³/cell
# formation enthalpy at 0 K: 49 meV/atom
# VASP energy: -3.05 eV/atom
data_Tl2HgRh
_chemical_formula_sum 'Tl2 Hg1 Rh1'
_symmetry_space_group_name_H-M 'P 1'
_symmetry_Int_Tables_number 1
_symmetry_space_group_name_Hall 'P 1'
_cell_length_a 3.190
_cell_length_b 4.488
_cell_length_c 7.390
_cell_angle_alpha 72.35
_cell_angle_beta 90.00
_cell_angle_gamma 90.00
loop_
_atom_site_label
_atom_site_type_symbol
_atom_site_fract_x
_atom_site_fract_y
_atom_site_fract_z
Rh1 Rh 0.500 0.511 0.854
Tl1 Tl 0.000 0.998 0.880
Tl2 Tl 0.500 0.312 0.251
Hg1 Hg 0.000 0.680 0.515


(3)
# PBE Er6As2Se3S, optimized geometry
# volume: 277.6 Å³/cell
# formation energy without anion corrections: -1728 meV/atom
# VASP energy: -6.00 eV/atom
data_Er6As2Se3S
_chemical_formula_sum 'Er6 As2 Se3 S1'
_symmetry_space_group_name_H-M 'P 1'
_symmetry_Int_Tables_number 1
_symmetry_space_group_name_Hall 'P 1'
_cell_length_a 4.017
_cell_length_b 8.078
_cell_length_c 9.040
_cell_angle_alpha 103.59
_cell_angle_beta 102.84
_cell_angle_gamma 90.00
loop_
_atom_site_label
_atom_site_type_symbol
_atom_site_fract_x
_atom_site_fract_y
_atom_site_fract_z
Se1 Se 0.832 0.166 0.664
Se2 Se 0.500 0.500 0.000
Se3 Se 0.168 0.834 0.336
Er1 Er 0.659 0.086 0.319
Er2 Er 0.998 0.768 0.996
Er3 Er 0.669 0.576 0.338
Er4 Er 0.002 0.232 0.004
Er5 Er 0.331 0.424 0.662
Er6 Er 0.341 0.914 0.681
As1 As 0.166 0.332 0.332
As2 As 0.834 0.668 0.668
S1 S 0.500 0.000 0.000


(4)
# PBE OsAu, optimized geometry
# relative energy among the computed polymorphs: 347.9 meV/atom
# volume: 206.2 Å³/cell
# formation enthalpy at 0 K: 632 meV/atom
# VASP energy: -6.62 eV/atom
data_OsAu
_chemical_formula_sum 'Os6 Au6'
_symmetry_space_group_name_H-M 'P 1'
_symmetry_Int_Tables_number 1
_symmetry_space_group_name_Hall 'P 1'
_cell_length_a 2.789
_cell_length_b 8.402
_cell_length_c 8.800
_cell_angle_alpha 90.00
_cell_angle_beta 90.00
_cell_angle_gamma 90.00
loop_
_atom_site_label
_atom_site_type_symbol
_atom_site_fract_x
_atom_site_fract_y
_atom_site_fract_z
Os1 Os 0.000 0.500 0.162
Os2 Os 0.500 0.171 0.483
Os3 Os 0.500 0.329 0.983
Os4 Os 0.500 0.671 0.983
Os5 Os 0.500 0.829 0.483
Os6 Os 0.000 0.000 0.662
Au1 Au 0.500 0.500 0.441
Au2 Au 0.000 0.830 0.216
Au3 Au 0.000 0.670 0.716
Au4 Au 0.000 0.170 0.216
Au5 Au 0.500 0.000 0.941
Au6 Au 0.000 0.330 0.716


(5)
# PBE SrZn4Pt, optimized geometry
# relative energy among the computed polymorphs: 8.9 meV/atom
# volume: 104.1 Å³/cell
# formation enthalpy at 0 K: -304 meV/atom
# VASP energy: -2.44 eV/atom
data_SrZn4Pt
_chemical_formula_sum 'Sr1 Zn4 Pt1'
_symmetry_space_group_name_H-M 'P 1'
_symmetry_Int_Tables_number 1
_symmetry_space_group_name_Hall 'P 1'
_cell_length_a 5.281
_cell_length_b 5.281
_cell_length_c 5.281
_cell_angle_alpha 60.00
_cell_angle_beta 60.00
_cell_angle_gamma 60.00
loop_
_atom_site_label
_atom_site_type_symbol
_atom_site_fract_x
_atom_site_fract_y
_atom_site_fract_z
Pt1 Pt 0.750 0.750 0.750
Zn1 Zn 0.377 0.377 0.869
Zn2 Zn 0.377 0.869 0.377
Zn3 Zn 0.869 0.377 0.377
Zn4 Zn 0.377 0.377 0.377
Sr1 Sr 0.000 0.000 0.000


(6)
# PBE Ce3Ge5Au12, optimized geometry
# volume: 2035.3 Å³/cell
# formation enthalpy at 0 K: -91 meV/atom
# VASP energy: -4.10 eV/atom
data_Ce3Ge5Au12
_chemical_formula_sum 'Ce12 Ge20 Au48'
_symmetry_space_group_name_H-M 'P 1'
_symmetry_Int_Tables_number 1
_symmetry_space_group_name_Hall 'P 1'
_cell_length_a 13.828
_cell_length_b 13.828
_cell_length_c 13.828
_cell_angle_alpha 109.47
_cell_angle_beta 109.47
_cell_angle_gamma 109.47
loop_
_atom_site_label
_atom_site_type_symbol
_atom_site_fract_x
_atom_site_fract_y
_atom_site_fract_z
Ge1 Ge 0.500 0.500 0.500
Ge2 Ge 0.125 0.375 0.250
Ge3 Ge 0.500 0.000 0.000
Ge4 Ge 0.375 0.250 0.125
Ge5 Ge 0.000 0.000 0.500
Ge6 Ge 0.000 0.500 0.500
Ge7 Ge 0.250 0.375 0.625
Ge8 Ge 0.750 0.125 0.875
Ge9 Ge 0.625 0.750 0.875
Ge10 Ge 0.250 0.875 0.125
Ge11 Ge 0.125 0.750 0.375
Ge12 Ge 0.875 0.250 0.625
Ge13 Ge 0.750 0.625 0.375
Ge14 Ge 0.000 0.500 0.000
Ge15 Ge 0.375 0.125 0.750
Ge16 Ge 0.500 0.500 0.000
Ge17 Ge 0.875 0.625 0.750
Ge18 Ge 0.000 0.000 0.000
Ge19 Ge 0.625 0.875 0.250
Ge20 Ge 0.500 0.000 0.500
Au1 Au 0.293 0.882 0.964
Au2 Au 0.882 0.293 0.464
Au3 Au 0.918 0.089 0.882
Au4 Au 0.589 0.882 0.418
Au5 Au 0.464 0.793 0.882
Au6 Au 0.089 0.918 0.382
Au7 Au 0.589 0.707 0.671
Au8 Au 0.329 0.793 0.411
Au9 Au 0.793 0.464 0.382
Au10 Au 0.382 0.964 0.793
Au11 Au 0.411 0.293 0.329
Au12 Au 0.082 0.171 0.464
Au13 Au 0.418 0.036 0.329
Au14 Au 0.671 0.464 0.582
Au15 Au 0.911 0.829 0.793
Au16 Au 0.536 0.207 0.118
Au17 Au 0.618 0.582 0.911
Au18 Au 0.536 0.329 0.918
Au19 Au 0.707 0.589 0.171
Au20 Au 0.082 0.911 0.118
Au21 Au 0.911 0.082 0.618
Au22 Au 0.582 0.964 0.671
Au23 Au 0.118 0.411 0.082
Au24 Au 0.464 0.671 0.082
Au25 Au 0.882 0.589 0.918
Au26 Au 0.582 0.618 0.411
Au27 Au 0.293 0.411 0.829
Au28 Au 0.036 0.418 0.829
Au29 Au 0.329 0.536 0.418
Au30 Au 0.382 0.418 0.089
Au31 Au 0.089 0.171 0.207
Au32 Au 0.207 0.536 0.618
Au33 Au 0.171 0.082 0.964
Au34 Au 0.671 0.207 0.589
Au35 Au 0.964 0.582 0.171
Au36 Au 0.411 0.118 0.582
Au37 Au 0.793 0.329 0.911
Au38 Au 0.829 0.911 0.293
Au39 Au 0.707 0.118 0.036
Au40 Au 0.964 0.382 0.293
Au41 Au 0.418 0.382 0.589
Au42 Au 0.918 0.829 0.536
Au43 Au 0.207 0.671 0.089
Au44 Au 0.829 0.918 0.036
Au45 Au 0.118 0.707 0.536
Au46 Au 0.618 0.036 0.207
Au47 Au 0.171 0.089 0.707
Au48 Au 0.036 0.618 0.707
Ce1 Ce 0.875 0.125 0.250
Ce2 Ce 0.750 0.375 0.125
Ce3 Ce 0.625 0.375 0.750
Ce4 Ce 0.375 0.625 0.250
Ce5 Ce 0.875 0.750 0.125
Ce6 Ce 0.750 0.875 0.625
Ce7 Ce 0.125 0.875 0.750
Ce8 Ce 0.250 0.625 0.875
Ce9 Ce 0.125 0.250 0.875
Ce10 Ce 0.375 0.750 0.625
Ce11 Ce 0.250 0.125 0.375
Ce12 Ce 0.625 0.250 0.375


Q: Among the records above, which one has the highest volume?
A: Ce3Ge5Au12